Entry 1:
VASP calculation (PBE) on an optimized crystal structure of Li2In2Au.

Cell lengths 5.3910, 6.1931, 7.6232 Å; angles 113.97, 110.71, 90.00 degrees
With the nearest neighbours (Å) after each atom.
Fractional positions:
Li (0.8279, 0.1715, 0.6557)  2 Au 2.76, 1 In 2.91
Li (0.1721, 0.8285, 0.3443)  2 Au 2.76, 1 In 2.91
Li (0.6721, 0.5158, 0.3443)  2 Au 2.76, 1 In 2.91
Li (0.3279, 0.4842, 0.6557)  2 Au 2.76, 1 In 2.91
Au (0.7500, 0.5000, 0.0000)  2 Au 2.70, 4 Li 2.76, 4 In 2.92
Au (0.2500, 0.5000, 0.0000)  2 Au 2.70, 4 Li 2.76, 4 In 2.92
In (0.1017, 0.2398, 0.2034)  4 Li 2.91-3.12, 2 Au 2.92, 3 In 3.12-3.19
In (0.3983, 0.0364, 0.7966)  4 Li 2.91-3.12, 2 Au 2.92, 3 In 3.12-3.19
In (0.6017, 0.9636, 0.2034)  4 Li 2.91-3.12, 2 Au 2.92, 3 In 3.12-3.19
In (0.8983, 0.7602, 0.7966)  4 Li 2.91-3.12, 2 Au 2.92, 3 In 3.12-3.19

Computed properties:
N(E_F) in states/eV/f.u.: 1.4
ΔE_f in eV per atom: -0.2848
M_tot in μB/cell: 0.00


Entry 2:
VASP calculation (PBE) on an optimized crystal structure of Li8InAu5.

Cell lengths 6.7555, 6.7555, 6.7555 Å; angles 111.04, 106.38, 111.04 degrees
With the nearest neighbours (Å) after each atom.
Fractional positions:
Au (0.0455, 0.3499, 0.1297)  8 Li 2.64-2.84
Au (0.5000, 0.0000, 0.5000)  8 Li 2.59-2.68
Au (0.3044, 0.0842, 0.9545)  8 Li 2.64-2.84
Au (0.8703, 0.9158, 0.2202)  8 Li 2.64-2.84
Au (0.7798, 0.6501, 0.6956)  8 Li 2.64-2.84
Li (0.3296, 0.2542, 0.3889)  5 Au 2.59-2.71, 1 In 2.73, 3 Li 2.80-2.85
Li (0.9246, 0.0593, 0.6704)  5 Au 2.59-2.71, 1 In 2.73, 3 Li 2.80-2.85
Li (0.6597, 0.3977, 0.9209)  5 Au 2.68-2.84, 3 Li 2.80-2.85
Li (0.6111, 0.9407, 0.8653)  5 Au 2.59-2.71, 1 In 2.73, 3 Li 2.80-2.85
Li (0.1347, 0.7458, 0.0754)  5 Au 2.59-2.71, 1 In 2.73, 3 Li 2.80-2.85
Li (0.7380, 0.2612, 0.3403)  5 Au 2.68-2.84, 3 Li 2.80-2.85
Li (0.0791, 0.7388, 0.4768)  5 Au 2.68-2.84, 3 Li 2.80-2.85
Li (0.5232, 0.6023, 0.2620)  5 Au 2.68-2.84, 3 Li 2.80-2.85
In (0.2500, 0.5000, 0.7500)  4 Li 2.73

Computed properties:
N(E_F) in states/eV/f.u.: 5.8
ΔE_f in eV per atom: -0.3900
M_tot in μB/cell: 0.00


Entry 3:
VASP calculation (PBE) on an optimized crystal structure of Li6InAu5.

Cell lengths 4.6361, 6.0145, 6.9442 Å; angles 90.00, 99.57, 90.00 degrees
With the nearest neighbours (Å) after each atom.
Fractional positions:
Au (0.6626, 0.5000, 0.3299)  8 Li 2.68-2.76, 1 Au 2.98
Au (0.0000, 0.5000, 0.0000)  8 Li 2.71-2.84, 2 Au 2.98, 2 In 3.01
Au (0.3521, 0.0000, 0.6812)  8 Li 2.73-2.84, 1 In 2.96, 2 Au 3.01
Au (0.6479, 0.0000, 0.3188)  8 Li 2.73-2.84, 1 In 2.96, 2 Au 3.01
Au (0.3374, 0.5000, 0.6701)  8 Li 2.68-2.76, 1 Au 2.98
Li (0.8304, 0.2549, 0.6508)  7 Au 2.68-2.84, 2 Li 2.82-2.95, 1 In 2.87
Li (0.5000, 0.7325, 0.0000)  6 Au 2.68-2.73, 1 Li 2.80, 2 In 2.82
Li (0.1696, 0.7451, 0.3492)  7 Au 2.68-2.84, 2 Li 2.82-2.95, 1 In 2.87
Li (0.1696, 0.2549, 0.3492)  7 Au 2.68-2.84, 2 Li 2.82-2.95, 1 In 2.87
Li (0.5000, 0.2675, 0.0000)  6 Au 2.68-2.73, 1 Li 2.80, 2 In 2.82
Li (0.8304, 0.7451, 0.6508)  7 Au 2.68-2.84, 2 Li 2.82-2.95, 1 In 2.87
In (0.0000, 0.0000, 0.0000)  8 Li 2.82-2.87, 4 Au 2.96-3.01

Computed properties:
N(E_F) in states/eV/f.u.: 3.3
ΔE_f in eV per atom: -0.5043
M_tot in μB/cell: 0.00